## YNb2Ir (PBE)

Data for a relaxed structure of YNb2Ir.

a b c (Å): 6.6928 6.6928 6.6928
angles (deg): 90.00 90.00 90.00
With the nearest neighbours (Å) after each atom.
Atoms (fractional coordinates):
Y (0.0000, 0.0000, 0.0000)  4 Nb 2.90, 4 Ir 2.90
Y (0.0000, 0.5000, 0.5000)  4 Nb 2.90, 4 Ir 2.90
Y (0.5000, 0.0000, 0.5000)  4 Nb 2.90, 4 Ir 2.90
Y (0.5000, 0.5000, 0.0000)  4 Nb 2.90, 4 Ir 2.90
Nb (0.0000, 0.0000, 0.5000)  4 Ir 2.90, 4 Nb 2.90
Nb (0.0000, 0.5000, 0.0000)  4 Ir 2.90, 4 Nb 2.90
Nb (0.2500, 0.2500, 0.7500)  4 Nb 2.90, 4 Y 2.90
Nb (0.2500, 0.7500, 0.2500)  4 Nb 2.90, 4 Y 2.90
Nb (0.5000, 0.0000, 0.0000)  4 Ir 2.90, 4 Nb 2.90
Nb (0.5000, 0.5000, 0.5000)  4 Ir 2.90, 4 Nb 2.90
Nb (0.7500, 0.2500, 0.2500)  4 Nb 2.90, 4 Y 2.90
Nb (0.7500, 0.7500, 0.7500)  4 Y 2.90, 4 Nb 2.90
Ir (0.2500, 0.2500, 0.2500)  4 Nb 2.90, 4 Y 2.90
Ir (0.2500, 0.7500, 0.7500)  4 Nb 2.90, 4 Y 2.90
Ir (0.7500, 0.2500, 0.7500)  4 Nb 2.90, 4 Y 2.90
Ir (0.7500, 0.7500, 0.2500)  4 Nb 2.90, 4 Y 2.90

Summary:
Energy of formation from the pure elements ... -0.088 eV/atom
Space group ... F-43m

## LaZnIn (PBE)

Data for a relaxed structure of LaZnIn.

a b c (Å): 7.0590 7.0590 7.0590
angles (deg): 90.00 90.00 90.00
With the nearest neighbours (Å) after each atom.
Atoms (fractional coordinates):
La (0.0000, 0.0000, 0.0000)  4 In 3.06
La (0.0000, 0.5000, 0.5000)  4 In 3.06
La (0.5000, 0.0000, 0.5000)  4 In 3.06
La (0.5000, 0.5000, 0.0000)  4 In 3.06
Zn (0.0000, 0.0000, 0.5000)  4 In 3.06
Zn (0.0000, 0.5000, 0.0000)  4 In 3.06
Zn (0.5000, 0.0000, 0.0000)  4 In 3.06
Zn (0.5000, 0.5000, 0.5000)  4 In 3.06
In (0.2500, 0.2500, 0.2500)  4 La 3.06, 4 Zn 3.06
In (0.2500, 0.7500, 0.7500)  4 La 3.06, 4 Zn 3.06
In (0.7500, 0.2500, 0.7500)  4 La 3.06, 4 Zn 3.06
In (0.7500, 0.7500, 0.2500)  4 La 3.06, 4 Zn 3.06

Summary:
Space group ... F-43m
E ... -9.56 eV per formula unit

## DyIrPb (PBE)

Data for a relaxed structure of DyIrPb.

a b c (Å): 6.7936 6.7936 6.7936
angles (deg): 90.00 90.00 90.00
With the nearest neighbours (Å) after each atom.
Atoms (fractional coordinates):
Dy (0.0000, 0.0000, 0.0000)  4 Pb 2.94, 4 Ir 2.94
Dy (0.0000, 0.5000, 0.5000)  4 Pb 2.94, 4 Ir 2.94
Dy (0.5000, 0.0000, 0.5000)  4 Pb 2.94, 4 Ir 2.94
Dy (0.5000, 0.5000, 0.0000)  4 Pb 2.94, 4 Ir 2.94
Ir (0.2500, 0.2500, 0.7500)  4 Dy 2.94
Ir (0.2500, 0.7500, 0.2500)  4 Dy 2.94
Ir (0.7500, 0.2500, 0.2500)  4 Dy 2.94
Ir (0.7500, 0.7500, 0.7500)  4 Dy 2.94
Pb (0.2500, 0.2500, 0.2500)  4 Dy 2.94
Pb (0.2500, 0.7500, 0.7500)  4 Dy 2.94
Pb (0.7500, 0.2500, 0.7500)  4 Dy 2.94
Pb (0.7500, 0.7500, 0.2500)  4 Dy 2.94

Summary:
Space group ... F-43m
E ... -16.52 eV per formula unit

## SmBe4Ag3 (PBE)

Data for a relaxed structure of SmBe4Ag3.

a b c (Å): 4.9952 4.9952 4.9952
angles (deg): 90.00 90.00 90.00
With the nearest neighbours (Å) after each atom.
Atoms (fractional coordinates):
Sm (0.0000, 0.0000, 0.0000)  6 Be 2.50
Be (0.0000, 0.0000, 0.5000)  2 Sm 2.50, 4 Ag 2.50
Be (0.0000, 0.5000, 0.0000)  2 Sm 2.50, 4 Ag 2.50
Be (0.5000, 0.0000, 0.0000)  2 Sm 2.50, 4 Ag 2.50
Be (0.5000, 0.5000, 0.5000)  6 Ag 2.50
Ag (0.0000, 0.5000, 0.5000)  6 Be 2.50
Ag (0.5000, 0.0000, 0.5000)  6 Be 2.50
Ag (0.5000, 0.5000, 0.0000)  6 Be 2.50

Summary:
Space group ... Pm-3m
E ... -23.21 eV per formula unit

## BaHf2Tc (PBE)

Data for a relaxed structure of BaHf2Tc.

a b c (Å): 7.1704 7.1704 7.1704
angles (deg): 90.00 90.00 90.00
With the nearest neighbours (Å) after each atom.
Atoms (fractional coordinates):
Ba (0.0000, 0.0000, 0.0000)  4 Hf 3.10, 4 Tc 3.10
Ba (0.0000, 0.5000, 0.5000)  4 Hf 3.10, 4 Tc 3.10
Ba (0.5000, 0.0000, 0.5000)  4 Hf 3.10, 4 Tc 3.10
Ba (0.5000, 0.5000, 0.0000)  4 Hf 3.10, 4 Tc 3.10
Hf (0.0000, 0.0000, 0.5000)  4 Hf 3.10, 4 Tc 3.10
Hf (0.0000, 0.5000, 0.0000)  4 Hf 3.10, 4 Tc 3.10
Hf (0.2500, 0.2500, 0.2500)  4 Hf 3.10, 4 Ba 3.10
Hf (0.2500, 0.7500, 0.7500)  4 Hf 3.10, 4 Ba 3.10
Hf (0.5000, 0.0000, 0.0000)  4 Hf 3.10, 4 Tc 3.10
Hf (0.5000, 0.5000, 0.5000)  4 Hf 3.10, 4 Tc 3.10
Hf (0.7500, 0.2500, 0.7500)  4 Hf 3.10, 4 Ba 3.10
Hf (0.7500, 0.7500, 0.2500)  4 Hf 3.10, 4 Ba 3.10
Tc (0.2500, 0.2500, 0.7500)  4 Hf 3.10, 4 Ba 3.10
Tc (0.2500, 0.7500, 0.2500)  4 Hf 3.10, 4 Ba 3.10
Tc (0.7500, 0.2500, 0.2500)  4 Hf 3.10, 4 Ba 3.10
Tc (0.7500, 0.7500, 0.7500)  4 Hf 3.10, 4 Ba 3.10

Summary:
Space group ... F-43m
E ... -28.72 eV per formula unit

## Be2ReB (PBE)

Data for a relaxed structure of Be2ReB.

a b c (Å): 5.3120 5.3120 5.3120
angles (deg): 90.00 90.00 90.00
With the nearest neighbours (Å) after each atom.
Atoms (fractional coordinates):
Be (0.0000, 0.0000, 0.0000)  4 Re 2.30, 4 Be 2.30
Be (0.0000, 0.5000, 0.5000)  4 Re 2.30, 4 Be 2.30
Be (0.2500, 0.2500, 0.2500)  4 Be 2.30, 4 B 2.30
Be (0.2500, 0.7500, 0.7500)  4 Be 2.30, 4 B 2.30
Be (0.5000, 0.0000, 0.5000)  4 Re 2.30, 4 Be 2.30
Be (0.5000, 0.5000, 0.0000)  4 Re 2.30, 4 Be 2.30
Be (0.7500, 0.2500, 0.7500)  4 Be 2.30, 4 B 2.30
Be (0.7500, 0.7500, 0.2500)  4 Be 2.30, 4 B 2.30
Re (0.2500, 0.2500, 0.7500)  4 Be 2.30, 4 B 2.30
Re (0.2500, 0.7500, 0.2500)  4 Be 2.30, 4 B 2.30
Re (0.7500, 0.2500, 0.2500)  4 Be 2.30, 4 B 2.30
Re (0.7500, 0.7500, 0.7500)  4 Be 2.30, 4 B 2.30
B (0.0000, 0.0000, 0.5000)  4 Re 2.30, 4 Be 2.30
B (0.0000, 0.5000, 0.0000)  4 Re 2.30, 4 Be 2.30
B (0.5000, 0.0000, 0.0000)  4 Re 2.30, 4 Be 2.30
B (0.5000, 0.5000, 0.5000)  4 Re 2.30, 4 Be 2.30

Summary:
Space group ... F-43m
E ... -25.20 eV per formula unit

## TbHo2In3CuGe2 (PBE)

Data for a relaxed structure of TbHo2In3CuGe2.

a b c (Å): 4.2277 7.3798 7.3798
angles (deg): 120.08 90.00 90.00
With the nearest neighbours (Å) after each atom.
Atoms (fractional coordinates):
Tb (0.0000, 0.0000, 0.0000)  1 Cu 3.00, 4 Ge 3.09, 6 In 3.35
Ho (0.0000, 0.1915, 0.5959)  1 Cu 2.98, 4 Ge 3.08
Ho (0.0000, 0.5959, 0.1915)  1 Cu 2.98, 4 Ge 3.08
In (0.5000, 0.3528, 0.3528)  2 Cu 2.76, 2 Ge 2.86
In (0.5000, 0.5953, 0.8380)  2 Cu 2.77, 2 Ge 2.84-2.86, 2 In 3.10
In (0.5000, 0.8380, 0.5953)  2 Cu 2.77, 2 Ge 2.84-2.86, 2 In 3.10
Cu (0.0000, 0.5937, 0.5937)  6 In 2.76-2.77, 2 Ho 2.98, 1 Tb 3.00
Ge (0.5000, 0.2635, 0.9286)  3 In 2.84-2.86, 4 Ho 3.08, 2 Tb 3.09
Ge (0.5000, 0.9286, 0.2635)  3 In 2.84-2.86, 4 Ho 3.08, 2 Tb 3.09

Summary:
Space group ... Amm2
E ... -39.86 eV per formula unit

## MgCuReOs (PBE)

Data for a relaxed structure of MgCuReOs.

a b c (Å): 6.1106 6.1106 6.1106
angles (deg): 90.00 90.00 90.00
With the nearest neighbours (Å) after each atom.
Atoms (fractional coordinates):
Mg (0.0000, 0.0000, 0.0000)  4 Os 2.65, 4 Cu 2.65
Mg (0.0000, 0.5000, 0.5000)  4 Os 2.65, 4 Cu 2.65
Mg (0.5000, 0.0000, 0.5000)  4 Os 2.65, 4 Cu 2.65
Mg (0.5000, 0.5000, 0.0000)  4 Os 2.65, 4 Cu 2.65
Cu (0.2500, 0.2500, 0.2500)  4 Mg 2.65, 4 Re 2.65
Cu (0.2500, 0.7500, 0.7500)  4 Mg 2.65, 4 Re 2.65
Cu (0.7500, 0.2500, 0.7500)  4 Mg 2.65, 4 Re 2.65
Cu (0.7500, 0.7500, 0.2500)  4 Mg 2.65, 4 Re 2.65
Re (0.0000, 0.0000, 0.5000)  4 Cu 2.65, 4 Os 2.65
Re (0.0000, 0.5000, 0.0000)  4 Cu 2.65, 4 Os 2.65
Re (0.5000, 0.0000, 0.0000)  4 Cu 2.65, 4 Os 2.65
Re (0.5000, 0.5000, 0.5000)  4 Cu 2.65, 4 Os 2.65
Os (0.2500, 0.2500, 0.7500)  4 Re 2.65, 4 Mg 2.65
Os (0.2500, 0.7500, 0.2500)  4 Re 2.65, 4 Mg 2.65
Os (0.7500, 0.2500, 0.2500)  4 Re 2.65, 4 Mg 2.65
Os (0.7500, 0.7500, 0.7500)  4 Re 2.65, 4 Mg 2.65

Summary:
Space group ... F-43m
E ... -28.23 eV per formula unit

## CdS (PBE)

Data for a relaxed structure of CdS.

a b c (Å): 3.7783 3.7783 20.9123
angles (deg): 90.00 90.00 90.00
With the nearest neighbours (Å) after each atom.
Atoms (fractional coordinates):
Cd (0.0000, 0.0000, 0.1937)  5 S 2.69
Cd (0.0000, 0.0000, 0.8063)  5 S 2.69
Cd (0.5000, 0.5000, 0.3063)  5 S 2.69
Cd (0.5000, 0.5000, 0.6937)  5 S 2.69
S (0.0000, 0.0000, 0.3223)  5 Cd 2.69
S (0.0000, 0.0000, 0.6777)  5 Cd 2.69
S (0.5000, 0.5000, 0.1777)  5 Cd 2.69
S (0.5000, 0.5000, 0.8223)  5 Cd 2.69

Summary:
Space group ... I4/mmm
E ... -5.87 eV per formula unit

## ScBeCoGe (PBE)

Data for a relaxed structure of ScBeCoGe.

a b c (Å): 6.0191 6.0191 6.0191
angles (deg): 90.00 90.00 90.00
With the nearest neighbours (Å) after each atom.
Atoms (fractional coordinates):
Sc (0.0000, 0.0000, 0.0000)  4 Ge 2.61, 4 Co 2.61
Sc (0.0000, 0.5000, 0.5000)  4 Ge 2.61, 4 Co 2.61
Sc (0.5000, 0.0000, 0.5000)  4 Ge 2.61, 4 Co 2.61
Sc (0.5000, 0.5000, 0.0000)  4 Ge 2.61, 4 Co 2.61
Be (0.0000, 0.0000, 0.5000)  4 Ge 2.61, 4 Co 2.61
Be (0.0000, 0.5000, 0.0000)  4 Co 2.61, 4 Ge 2.61
Be (0.5000, 0.0000, 0.0000)  4 Co 2.61, 4 Ge 2.61
Be (0.5000, 0.5000, 0.5000)  4 Ge 2.61, 4 Co 2.61
Co (0.2500, 0.2500, 0.7500)  4 Be 2.61, 4 Sc 2.61
Co (0.2500, 0.7500, 0.2500)  4 Be 2.61, 4 Sc 2.61
Co (0.7500, 0.2500, 0.2500)  4 Be 2.61, 4 Sc 2.61
Co (0.7500, 0.7500, 0.7500)  4 Be 2.61, 4 Sc 2.61
Ge (0.2500, 0.2500, 0.2500)  4 Be 2.61, 4 Sc 2.61
Ge (0.2500, 0.7500, 0.7500)  4 Be 2.61, 4 Sc 2.61
Ge (0.7500, 0.2500, 0.7500)  4 Be 2.61, 4 Sc 2.61
Ge (0.7500, 0.7500, 0.2500)  4 Be 2.61, 4 Sc 2.61

Summary:
Space group ... F-43m
E ... -22.20 eV per formula unit

## RbHo (PBE)

Data for a relaxed structure of RbHo.

a b c (Å): 7.3325 7.3325 7.3325
angles (deg): 90.00 90.00 90.00
With the nearest neighbours (Å) after each atom.
Atoms (fractional coordinates):
Rb (0.0000, 0.0000, 0.0000)  6 Ho 3.67
Rb (0.0000, 0.5000, 0.5000)  6 Ho 3.67
Rb (0.5000, 0.0000, 0.5000)  6 Ho 3.67
Rb (0.5000, 0.5000, 0.0000)  6 Ho 3.67
Ho (0.0000, 0.0000, 0.5000)  6 Rb 3.67
Ho (0.0000, 0.5000, 0.0000)  6 Rb 3.67
Ho (0.5000, 0.0000, 0.0000)  6 Rb 3.67
Ho (0.5000, 0.5000, 0.5000)  6 Rb 3.67

Summary:
Space group ... Fm-3m
E ... -2.84 eV per formula unit

## Hf2TlZn (PBE)

Data for a relaxed structure of Hf2TlZn.

a b c (Å): 7.0247 7.0247 7.0247
angles (deg): 90.00 90.00 90.00
With the nearest neighbours (Å) after each atom.
Atoms (fractional coordinates):
Hf (0.0000, 0.0000, 0.0000)  4 Hf 3.04, 4 Zn 3.04
Hf (0.0000, 0.5000, 0.5000)  4 Hf 3.04, 4 Zn 3.04
Hf (0.2500, 0.2500, 0.2500)  4 Hf 3.04, 4 Tl 3.04
Hf (0.2500, 0.7500, 0.7500)  4 Hf 3.04, 4 Tl 3.04
Hf (0.5000, 0.0000, 0.5000)  4 Hf 3.04, 4 Zn 3.04
Hf (0.5000, 0.5000, 0.0000)  4 Hf 3.04, 4 Zn 3.04
Hf (0.7500, 0.2500, 0.7500)  4 Hf 3.04, 4 Tl 3.04
Hf (0.7500, 0.7500, 0.2500)  4 Hf 3.04, 4 Tl 3.04
Tl (0.0000, 0.0000, 0.5000)  4 Zn 3.04, 4 Hf 3.04
Tl (0.0000, 0.5000, 0.0000)  4 Zn 3.04, 4 Hf 3.04
Tl (0.5000, 0.0000, 0.0000)  4 Zn 3.04, 4 Hf 3.04
Tl (0.5000, 0.5000, 0.5000)  4 Zn 3.04, 4 Hf 3.04
Zn (0.2500, 0.2500, 0.7500)  4 Hf 3.04, 4 Tl 3.04
Zn (0.2500, 0.7500, 0.2500)  4 Hf 3.04, 4 Tl 3.04
Zn (0.7500, 0.2500, 0.2500)  4 Hf 3.04, 4 Tl 3.04
Zn (0.7500, 0.7500, 0.7500)  4 Tl 3.04, 4 Hf 3.04

Summary:
Space group ... F-43m
E ... -21.65 eV per formula unit

## HoRePd (PBE)

Data for a relaxed structure of HoRePd.

a b c (Å): 6.3834 6.3834 6.3834
angles (deg): 90.00 90.00 90.00
With the nearest neighbours (Å) after each atom.
Atoms (fractional coordinates):
Ho (0.0000, 0.0000, 0.0000)  4 Pd 2.76
Ho (0.0000, 0.5000, 0.5000)  4 Pd 2.76
Ho (0.5000, 0.0000, 0.5000)  4 Pd 2.76
Ho (0.5000, 0.5000, 0.0000)  4 Pd 2.76
Re (0.0000, 0.0000, 0.5000)  4 Pd 2.76
Re (0.0000, 0.5000, 0.0000)  4 Pd 2.76
Re (0.5000, 0.0000, 0.0000)  4 Pd 2.76
Re (0.5000, 0.5000, 0.5000)  4 Pd 2.76
Pd (0.2500, 0.2500, 0.2500)  4 Ho 2.76, 4 Re 2.76
Pd (0.2500, 0.7500, 0.7500)  4 Ho 2.76, 4 Re 2.76
Pd (0.7500, 0.2500, 0.7500)  4 Ho 2.76, 4 Re 2.76
Pd (0.7500, 0.7500, 0.2500)  4 Ho 2.76, 4 Re 2.76

Summary:
Energy of formation from the pure elements ... 0.533 eV/atom
Space group ... F-43m

## NbAsIrO (PBE)

Data for a relaxed structure of NbAsIrO.

a b c (Å): 3.9751 5.6729 5.6912
angles (deg): 90.00 90.00 90.00
With the nearest neighbours (Å) after each atom.
Atoms (fractional coordinates):
Nb (0.0000, 0.0903, 0.0000)  2 O 2.05-2.09
Nb (0.0000, 0.9097, 0.5000)  2 O 2.05-2.09
As (0.5000, 0.2818, 0.7649)  2 Ir 2.54-2.62, 2 Nb 2.63
As (0.5000, 0.7182, 0.2649)  2 Ir 2.54-2.62, 2 Nb 2.63
Ir (0.5000, 0.2724, 0.3052)  2 O 2.01
Ir (0.5000, 0.7276, 0.8052)  2 O 2.01
O (0.0000, 0.2331, 0.3393)  2 Ir 2.01, 2 Nb 2.05-2.09
O (0.0000, 0.7669, 0.8393)  2 Ir 2.01, 2 Nb 2.05-2.09

Summary:
Space group ... Pmc2_1
E ... -30.75 eV per formula unit